No. 1
The following is a PBE calculation of a geometry-optimized NaLiH3 structure, from Alexandria.

Summary:
DFT total energy: -2.19 eV per atom
Fermi-level density of states: 1.2 states/eV per cell
Energy relative to the lowest polymorph listed for this composition: 1.771 eV/f.u.

Lattice parameters (Å, degrees): 4.0967 4.0967 4.0967 90.00 90.00 90.00
Last column: nearest neighbours and their distance in Å.
Space group Pm-3m (No. 221)
Symmetry-distinct sites (fractional):
Na  0.0000  0.0000  0.0000 (multiplicity 1)  6 H 2.05
Li  0.5000  0.5000  0.5000 (multiplicity 1)  12 H 2.90
H  0.0000  0.0000  0.5000 (multiplicity 3)  2 Na 2.05



No. 2
The following is a PBE calculation of a geometry-optimized Dy3BeP2Rh9 structure, from Alexandria.

Summary:
DFT total energy: -7.06 eV per atom
Fermi-level density of states: 1.1 states/eV per cell
Calculated formation energy: -0.763 eV per atom

Lattice parameters (Å, degrees): 6.1880 6.1880 7.5400 90.00 90.00 120.00
Last column: nearest neighbours and their distance in Å.
Space group P-3m1 (No. 164)
Symmetry-distinct sites (fractional):
Dy  0.0000  0.0000  0.0000 (multiplicity 1)  12 Rh 3.06-3.09
Dy  0.3333  0.6667  0.6589 (multiplicity 2)  12 Rh 3.06-3.13
Be  0.0000  0.0000  0.5000 (multiplicity 1)  6 Rh 2.13
P  0.3333  0.6667  0.1794 (multiplicity 2)  6 Rh 2.18-2.24
Rh  0.0000  0.5000  0.0000 (multiplicity 3)  2 P 2.24
Rh  0.1612  0.3224  0.3343 (multiplicity 6)  1 Be 2.13, 1 P 2.18